Here is CrIn2GaO6 after structural relaxation from Alexandria. Energies are from GGA+U.

Properties
Its crystal system is trigonal. Its size of the total moment is 3.0 μB/f.u. The calculated total energy is -6.2722 eV per atom.

abc: 5.3307 5.3307 14.0209
angles: 90.00 90.00 120.00
Space group R3 (No. 146, hexagonal axes)
Unique sites:
Cr  0.0000  0.0000  0.0000
In  0.0000  0.0000  0.2136
In  0.0000  0.0000  0.7110
Ga  0.0000  0.0000  0.4953
O  0.0168  0.3874  0.7620
O  0.0186  0.6297  0.2614